First-principles (PBE) data for crystalline Co2Te at its relaxed geometry, as listed in the Alexandria database.

Calculated values
As for the mass density: 9324 kg/m3. The formation energy (no corrections) comes out at 266 meV/atom. For the calculated volume, the calculation gives 14.57 A^3/atom. The value obtained for the energy above the lowest structure with this stoichiometry is 0.304 eV per atom. As for the magnetization: 1.936 μB/f.u.

Lattice parameters (Å, degrees): 4.5690 4.5690 5.5093 80.99 80.99 50.52
Each line ends with the local moment (μB).
Fractional positions:
Co 0.9525 0.9525 0.0300  0.83
Co 0.3143 0.3143 0.3836  1.01
Co 0.6795 0.6795 0.7086  1.09
Co 0.6280 0.6280 0.2449  1.03
Te 0.9929 0.9929 0.5111  0.02
Te 0.2660 0.2660 0.9552  0.00